Record 1
# Na2ScI5

A relaxed Na2ScI5 crystal (PBE, Alexandria via LeMat-Bulk).

Computed properties:
DOS(E_F)   0.00 states/eV per atom
Calculated density   3.49 g cm⁻³
Spin magnetization   0.00 μB/f.u.
Formation energy without anion corrections   -1187 meV/atom
VASP energy   -3.28 eV per atom

Unit cell a=6.0646 b=8.2630 c=14.8125 alpha=90.00 beta=90.00 gamma=111.53
Closest atoms and distances in Å follow each position.
Fractional positions:
Sc  0.1848  0.3696  0.2500  6 I 2.80-3.06
Na  0.1603  0.3206  0.9383  6 I 3.12-3.44
Na  0.8397  0.6794  0.4383  6 I 3.12-3.44
I  0.7092  0.4184  0.2500  2 Sc 3.06
Sc  0.8152  0.6304  0.7500  6 I 2.80-3.06
Na  0.8397  0.6794  0.0617  6 I 3.12-3.44
I  0.3158  0.6317  0.1048  1 Sc 2.95, 2 Na 3.12
I  0.3158  0.6317  0.3952  1 Sc 2.95, 2 Na 3.12
Na  0.1603  0.3206  0.5617  6 I 3.12-3.44
I  0.6842  0.3683  0.8952  1 Sc 2.95, 2 Na 3.12
I  0.9477  0.8954  0.6200  1 Sc 2.80
I  0.6842  0.3683  0.6048  1 Sc 2.95, 2 Na 3.12
I  0.0523  0.1046  0.1200  1 Sc 2.80
I  0.9477  0.8954  0.8800  1 Sc 2.80
I  0.2908  0.5816  0.7500  2 Sc 3.06
I  0.0523  0.1046  0.3800  1 Sc 2.80

***

Record 2
# RbNbI5

A relaxed RbNbI5 crystal (PBE, Alexandria via LeMat-Bulk).

Computed properties:
DOS(E_F)   0.55 states/eV per atom
Calculated density   4.00 g cm⁻³
Spin magnetization   1.00 μB/f.u.
Formation energy without anion corrections   -668 meV/atom
VASP energy   -3.35 eV per atom

Unit cell a=8.3310 b=8.3310 c=11.0416 alpha=72.78 beta=72.78 gamma=70.75
Closest atoms and distances in Å follow each position.
Fractional positions:
I  0.0807  0.3144  0.3823  1 Nb 2.76
I  0.6856  0.9193  0.1177  1 Nb 2.76
I  0.9193  0.6856  0.6177  1 Nb 2.76
I  0.9111  0.0889  0.7500  2 Nb 2.89
Rb  0.4670  0.5330  0.2500  7 I 3.65-4.05
I  0.8356  0.3526  0.0076  1 Nb 2.82
I  0.3526  0.8356  0.5076  1 Nb 2.82
I  0.3144  0.0807  0.8823  1 Nb 2.76
Rb  0.5330  0.4670  0.7500  7 I 3.65-4.05
Nb  0.0000  0.0000  0.0000  6 I 2.76-2.89
I  0.0889  0.9111  0.2500  2 Nb 2.89
I  0.1644  0.6474  0.9924  1 Nb 2.82
I  0.6474  0.1644  0.4924  1 Nb 2.82
Nb  0.0000  0.0000  0.5000  6 I 2.76-2.89

***

Record 3
# U3Al19Ni5

A relaxed U3Al19Ni5 crystal (PBE, Alexandria via LeMat-Bulk).

Computed properties:
DOS(E_F)   1.04 states/eV per atom
Calculated density   5.75 g cm⁻³
Spin magnetization   7.79 μB/f.u.
ΔH_f (0 K)   -0.36 eV/atom
VASP energy   -5.32 eV per atom

Unit cell a=8.2255 b=8.2255 c=27.0536 alpha=90.00 beta=90.00 gamma=151.35
Closest atoms and distances in Å follow each position.
Fractional positions:
U  0.3324  0.6676  0.1360  12 Al 3.04-3.25, 2 Ni 3.26
Al  0.0790  0.9210  0.7012  2 Ni 2.49, 2 Al 2.64-2.77
Al  0.0790  0.9210  0.7988  2 Ni 2.49, 2 Al 2.64-2.77
Al  0.2759  0.7241  0.8063  8 Al 2.83-3.15, 4 U 3.08-3.09
Al  0.0927  0.9073  0.0373  3 Ni 2.40-2.48
Al  0.7241  0.2759  0.1937  8 Al 2.83-3.15, 4 U 3.08-3.09
Al  0.4639  0.5361  0.8260  2 Ni 2.42-2.44
Ni  0.5442  0.4558  0.7500  7 Al 2.38-2.49
Al  0.8688  0.1312  0.6360  8 Al 2.69-2.96, 2 Ni 2.77
Al  0.4321  0.5679  0.0311  3 Ni 2.41-2.52, 1 Al 2.68
Al  0.4639  0.5361  0.6740  2 Ni 2.42-2.44
Ni  0.1594  0.8406  0.9579  8 Al 2.40-2.56
Al  0.9073  0.0927  0.5373  3 Ni 2.40-2.48
Ni  0.5530  0.4470  0.4157  7 Al 2.41-2.54
U  0.3324  0.6676  0.3640  12 Al 3.04-3.25, 2 Ni 3.26
Ni  0.8406  0.1594  0.0421  8 Al 2.40-2.56
Al  0.7241  0.2759  0.3063  8 Al 2.83-3.15, 4 U 3.08-3.09
Al  0.0927  0.9073  0.4627  3 Ni 2.40-2.48
Al  0.5361  0.4639  0.1740  2 Ni 2.42-2.44
Al  0.9210  0.0790  0.2012  2 Ni 2.49, 2 Al 2.64-2.77
Al  0.2913  0.7087  0.9106  2 Ni 2.46-2.49, 4 Al 2.69-2.75
Al  0.9627  0.0373  0.1017  3 Ni 2.53-2.54, 2 Al 2.71-2.77
Al  0.9073  0.0927  0.9627  3 Ni 2.40-2.48
Ni  0.5530  0.4470  0.0843  7 Al 2.41-2.54
Al  0.0373  0.9627  0.8983  3 Ni 2.53-2.54, 2 Al 2.71-2.77
U  0.6676  0.3324  0.6360  12 Al 3.04-3.25, 2 Ni 3.26
Al  0.5679  0.4321  0.9689  3 Ni 2.41-2.52, 1 Al 2.68
Al  0.7087  0.2913  0.4106  2 Ni 2.46-2.49, 4 Al 2.69-2.75
Al  0.1312  0.8688  0.3640  8 Al 2.69-2.96, 2 Ni 2.77
Al  0.2640  0.7360  0.0295  3 Ni 2.40-2.56, 3 Al 2.63-2.68
Al  0.0373  0.9627  0.6017  3 Ni 2.53-2.54, 2 Al 2.71-2.77
Al  0.2640  0.7360  0.4705  3 Ni 2.40-2.56, 3 Al 2.63-2.68
Al  0.4321  0.5679  0.4689  3 Ni 2.41-2.52, 1 Al 2.68
Al  0.8688  0.1312  0.8640  8 Al 2.69-2.96, 2 Ni 2.77
Ni  0.4558  0.5442  0.2500  7 Al 2.38-2.49
Al  0.7360  0.2640  0.5295  3 Ni 2.40-2.56, 3 Al 2.63-2.68
Al  0.7087  0.2913  0.0894  2 Ni 2.46-2.49, 4 Al 2.69-2.75
Ni  0.8406  0.1594  0.4579  8 Al 2.40-2.56
Al  0.7360  0.2640  0.9705  3 Ni 2.40-2.56, 3 Al 2.63-2.68
Al  0.3063  0.6937  0.2500  1 Ni 2.38
Al  0.5361  0.4639  0.3260  2 Ni 2.42-2.44
U  0.8845  0.1155  0.7500  13 Al 3.04-3.37, 2 Ni 3.26
Ni  0.1594  0.8406  0.5421  8 Al 2.40-2.56
Al  0.6937  0.3063  0.7500  1 Ni 2.38
Al  0.2759  0.7241  0.6937  8 Al 2.83-3.15, 4 U 3.08-3.09
Al  0.5679  0.4321  0.5311  3 Ni 2.41-2.52, 1 Al 2.68
Al  0.1312  0.8688  0.1360  8 Al 2.69-2.96, 2 Ni 2.77
Al  0.9210  0.0790  0.2988  2 Ni 2.49, 2 Al 2.64-2.77
Al  0.2913  0.7087  0.5894  2 Ni 2.46-2.49, 4 Al 2.69-2.75
Al  0.9627  0.0373  0.3983  3 Ni 2.53-2.54, 2 Al 2.71-2.77
U  0.1155  0.8845  0.2500  13 Al 3.04-3.37, 2 Ni 3.26
U  0.6676  0.3324  0.8640  12 Al 3.04-3.25, 2 Ni 3.26
Ni  0.4470  0.5530  0.9157  7 Al 2.41-2.54
Ni  0.4470  0.5530  0.5843  7 Al 2.41-2.54

***

Record 4
# Rb2Sm2NpO6

A relaxed Rb2Sm2NpO6 crystal (PBE, Alexandria via LeMat-Bulk).

Computed properties:
DOS(E_F)   0.89 states/eV per atom
Calculated density   6.04 g cm⁻³
Spin magnetization   3.00 μB/f.u.
Formation energy without anion corrections   -2722 meV/atom
VASP energy   -7.64 eV per atom

Unit cell a=6.1733 b=6.1733 c=7.0010 alpha=98.33 beta=98.33 gamma=119.95
Closest atoms and distances in Å follow each position.
Fractional positions:
O  0.7444  0.7444  0.6650  1 Np 2.21, 2 Sm 2.40
Sm  0.3338  0.6662  0.5000  6 O 2.34-2.40
Rb  0.1675  0.8325  0.0000  6 O 2.99-3.08
O  0.3756  0.0479  0.6665  1 Np 2.29, 2 Sm 2.34-2.39
O  0.6244  0.9521  0.3335  1 Np 2.29, 2 Sm 2.34-2.39
Rb  0.8325  0.1675  0.0000  6 O 2.99-3.08
O  0.2556  0.2556  0.3350  1 Np 2.21, 2 Sm 2.40
Np  0.0000  0.0000  0.5000  6 O 2.21-2.29
Sm  0.6662  0.3338  0.5000  6 O 2.34-2.40
O  0.0479  0.3756  0.6665  1 Np 2.29, 2 Sm 2.34-2.39
O  0.9521  0.6244  0.3335  1 Np 2.29, 2 Sm 2.34-2.39

***

Record 5
# Sc8AsSe6

A relaxed Sc8AsSe6 crystal (PBE, Alexandria via LeMat-Bulk).

Computed properties:
DOS(E_F)   0.76 states/eV per atom
Calculated density   4.62 g cm⁻³
Spin magnetization   0.00 μB/f.u.
Formation energy without anion corrections   -1207 meV/atom
VASP energy   -6.29 eV per atom

Unit cell a=9.9826 b=9.9826 c=3.7832 alpha=90.00 beta=90.00 gamma=120.00
Closest atoms and distances in Å follow each position.
Fractional positions:
Sc  0.7389  0.0211  0.2597  3 Se 2.62-2.71, 1 As 2.87
Sc  0.2822  0.2611  0.2597  3 Se 2.62-2.71, 1 As 2.87
Se  0.4654  0.1324  0.2459  5 Sc 2.62-2.76
Se  0.8676  0.3331  0.2459  5 Sc 2.62-2.76
Se  0.5346  0.8676  0.7541  5 Sc 2.62-2.76
Sc  0.6667  0.3333  0.7437  6 Se 2.75-2.76
Sc  0.0211  0.2822  0.7403  3 Se 2.62-2.71, 1 As 2.87
Sc  0.2611  0.9789  0.7403  3 Se 2.62-2.71, 1 As 2.87
Se  0.6669  0.5346  0.2459  5 Sc 2.62-2.76
Sc  0.3333  0.6667  0.2563  6 Se 2.75-2.76
Se  0.3331  0.4654  0.7541  5 Sc 2.62-2.76
Sc  0.7178  0.7389  0.7403  3 Se 2.62-2.71, 1 As 2.87
Se  0.1324  0.6669  0.7541  5 Sc 2.62-2.76
As  0.0000  0.0000  0.5000  6 Sc 2.87
Sc  0.9789  0.7178  0.2597  3 Se 2.62-2.71, 1 As 2.87

***

Record 6
# ScBe2Mo

A relaxed ScBe2Mo crystal (PBE, Alexandria via LeMat-Bulk).

Computed properties:
DOS(E_F)   0.95 states/eV per atom
Calculated density   4.05 g cm⁻³
Spin magnetization   0.00 μB/f.u.
ΔH_f (0 K)   0.65 eV/atom
VASP energy   -5.51 eV per atom

Unit cell a=3.9680 b=3.9680 c=8.7364 alpha=76.87 beta=76.87 gamma=90.00
Closest atoms and distances in Å follow each position.
Fractional positions:
Sc  0.5000  0.5000  0.0000  4 Be 2.80, 4 Mo 2.81
Mo  0.7500  0.2500  0.5000  4 Be 2.32
Sc  0.2500  0.7500  0.5000  4 Be 2.80, 4 Mo 2.81
Be  0.9704  0.6250  0.2500  2 Be 2.12, 2 Mo 2.32
Mo  0.0000  0.0000  0.0000  4 Be 2.32
Be  0.8750  0.0296  0.7500  2 Be 2.12, 2 Mo 2.32
Be  0.7796  0.1250  0.2500  2 Be 2.12, 2 Mo 2.32
Be  0.3750  0.2204  0.7500  2 Be 2.12, 2 Mo 2.32

***

Record 7
# TmSc2Tc9

A relaxed TmSc2Tc9 crystal (PBE, Alexandria via LeMat-Bulk).

Computed properties:
DOS(E_F)   1.02 states/eV per atom
Calculated density   9.18 g cm⁻³
Spin magnetization   0.00 μB/f.u.
ΔH_f (0 K)   -0.12 eV/atom
VASP energy   -9.33 eV per atom

Unit cell a=5.2507 b=5.2507 c=9.1574 alpha=73.34 beta=73.34 gamma=60.00
Closest atoms and distances in Å follow each position.
Fractional positions:
Tc  0.3369  0.3369  0.9892  6 Tc 2.63-2.73
Tm  0.0000  0.0000  0.0000  6 Tc 3.03
Sc  0.1440  0.1440  0.5680  12 Tc 3.03-3.09, 3 Sc 3.25
Tc  0.4094  0.9251  0.2561  7 Tc 2.54-2.73
Tc  0.4094  0.4094  0.2561  7 Tc 2.54-2.73
Sc  0.8560  0.8560  0.4320  12 Tc 3.03-3.09, 3 Sc 3.25
Tc  0.0749  0.5906  0.7439  7 Tc 2.54-2.73
Tc  0.5906  0.0749  0.7439  7 Tc 2.54-2.73
Tc  0.9251  0.4094  0.2561  7 Tc 2.54-2.73
Tc  0.5906  0.5906  0.7439  7 Tc 2.54-2.73
Tc  0.5000  0.5000  0.5000  6 Tc 2.62
Tc  0.6631  0.6631  0.0108  6 Tc 2.63-2.73

***

What is the formula in the seventh record?
TmSc2Tc9